This record from Alexandria via LeMat-Bulk describes a relaxed structure of BaInAg2Pd. The functional is PBE.

Values from the calculation:
**E above lowest polymorph**: 0 meV/atom
**Total DFT energy (no corrections)**: -34.35 eV per cell
**Magnetization**: 0.00 μB per formula unit
**ΔE_f**: -0.3241 eV per atom

a = 4.3799 Å, b = 4.6908 Å, c = 12.3413 Å
α = 90.00°, β = 90.00°, γ = 90.00°
Space group Imm2 (No. 44)
Inequivalent atoms, fractional coordinates:
Ba: 0.0000 0.0000 0.0000 (multiplicity 2)
In: 0.0000 0.5000 0.7583 (multiplicity 2)
Ag: 0.0000 0.0000 0.6170 (multiplicity 2)
Ag: 0.0000 0.5000 0.2642 (multiplicity 2)
Pd: 0.0000 0.0000 0.3929 (multiplicity 2)